TaBeZn2 | PBE | optimized geometry

Cell lengths 4.978, 4.978, 2.629 Å; angles 90.00, 90.00, 116.01 degrees
Fractional coordinates of all 4 atoms:
1 Ta 0.000 0.000 0.000
2 Be 0.500 0.500 0.000
3 Zn 0.000 0.500 0.500
4 Zn 0.500 0.000 0.500

Magnetization (Bohr magnetons per cell): 0.0
DOS at the Fermi energy (states/eV per atom): 0.55
Crystal system: orthorhombic
Energy relative to the elements (eV per atom): 0.22


TaBeZn | PBE | optimized geometry

Cell lengths 4.164, 4.164, 5.043 Å; angles 90.00, 90.00, 112.39 degrees
Fractional coordinates of all 6 atoms:
1 Ta 0.146 0.854 0.750
2 Ta 0.854 0.146 0.250
3 Be 0.210 0.790 0.250
4 Be 0.790 0.210 0.750
5 Zn 0.500 0.500 0.000
6 Zn 0.500 0.500 0.500

Polymorph energy (0 for the lowest one) (meV/atom): 227.7
Magnetization (Bohr magnetons per cell): 0.0
DOS at the Fermi energy (states/eV per atom): 0.40
Crystal system: orthorhombic
Energy relative to the elements (eV per atom): 0.12


TaBeZn2 | PBE | optimized geometry

Cell lengths 3.729, 3.729, 3.976 Å; angles 90.00, 90.00, 90.00 degrees
Fractional coordinates of all 4 atoms:
1 Ta 0.000 0.000 0.000
2 Be 0.500 0.500 0.000
3 Zn 0.000 0.500 0.500
4 Zn 0.500 0.000 0.500

Magnetization (Bohr magnetons per cell): 0.0
DOS at the Fermi energy (states/eV per atom): 0.42
Crystal system: tetragonal
Energy relative to the elements (eV per atom): -0.01